# GGA-PBEsol KSr2Te, optimized geometry
# * raw formation energy: -732 meV per atom
# * E_tot: -2.817 eV per atom
# * volume: 598.01 Å³/cell
data_KSr2Te
_cell_length_a 4.4551
_cell_length_b 4.4551
_cell_length_c 34.7916
_cell_angle_alpha 90.00
_cell_angle_beta 90.00
_cell_angle_gamma 120.00
_space_group_name_H-M_alt 'R -3 m'
_space_group_IT_number 166
_space_group_name_Hall '-R 3 2"'
loop_
_atom_site_label
_atom_site_type_symbol
_atom_site_fract_x
_atom_site_fract_y
_atom_site_fract_z
_atom_site_occupancy
K1 K 0.0000 0.0000 0.0000 1
Sr1 Sr 0.0000 0.0000 0.2245 1
Te1 Te 0.0000 0.0000 0.5000 1